(1)
## RbScZnF6 (GGA-PBE)

Data for a relaxed structure of RbScZnF6.

abc: 7.423 7.728 10.833
angles: 90.00 90.00 90.00
Space group Imma (No. 74)
One atom of each set of equivalent atoms:
1 Rb 0.000 0.250 0.088 (multiplicity 4)
2 Sc 0.000 0.000 0.500 (multiplicity 4)
3 Zn 0.250 0.250 0.750 (multiplicity 4)
4 F 0.000 0.250 0.434 (multiplicity 4)
5 F 0.000 0.250 0.819 (multiplicity 4)
6 F 0.198 0.055 0.621 (multiplicity 16)

Total energy ... -193.66 eV per cell
V ... 17.261 A^3/atom
Magnetization ... 0.00 μB/f.u.

***

(2)
## RbScZn2F8 (GGA-PBE)

Data for a relaxed structure of RbScZn2F8.

abc: 5.3758 5.3758 24.1513
angles: 90.00 90.00 120.00
Space group R-3 (No. 148, hexagonal axes)
One atom of each set of equivalent atoms:
1 Rb 0.0000 0.0000 0.0000 (multiplicity 3)
2 Sc 0.0000 0.0000 0.5000 (multiplicity 3)
3 Zn 0.0000 0.0000 0.2463 (multiplicity 6)
4 F 0.0000 0.0000 0.3232 (multiplicity 6)
5 F 0.0130 0.3150 0.4510 (multiplicity 18)

Total energy ... -178.45 eV per cell
V ... 16.790 A^3/atom
Magnetization ... 0.08 μB/f.u.

***

(3)
## Rb5SeF6 (GGA-PBE)

Data for a relaxed structure of Rb5SeF6.

abc: 7.037 12.074 6.991
angles: 90.00 100.97 90.00
Space group C2/m (No. 12)
One atom of each set of equivalent atoms:
1 Rb 0.000 0.000 0.000 (multiplicity 2)
2 Rb 0.000 0.196 0.500 (multiplicity 4)
3 Rb 0.000 0.338 0.000 (multiplicity 4)
4 Se 0.000 0.500 0.500 (multiplicity 2)
5 F 0.196 0.500 0.318 (multiplicity 4)
6 F 0.205 0.175 0.210 (multiplicity 8)

Total energy ... -93.27 eV per cell
V ... 24.297 A^3/atom
Magnetization ... 1.01 μB/f.u.